Computed, not measured: a geometry-optimized CaRh structure at the PBE-GGA level of DFT.

Computed properties:
For the formation energy from the elements, the calculation gives -0.10 eV per atom. As for the crystal system: cubic. The total energy is -4.77 eV per atom.

Cell and atoms, written as POSCAR:
```
CaRh
1.0
5.480 0.000 0.000
0.000 5.480 0.000
0.000 0.000 5.480
Ca Rh
4 4
Direct
0.088 0.412 0.588 Ca
0.412 0.588 0.088 Ca
0.588 0.088 0.412 Ca
0.912 0.912 0.912 Ca
0.101 0.899 0.399 Rh
0.399 0.101 0.899 Rh
0.601 0.601 0.601 Rh
0.899 0.399 0.101 Rh
```

Computed, not measured: a geometry-optimized SiBi structure at the PBE-GGA level of DFT.

Computed properties:
The value obtained for the raw formation energy is 0.429 eV per atom. As for the crystal system: tetragonal. The total energy is -4.22 eV per atom.

Cell and atoms, written as POSCAR:
```
SiBi
1.0
4.061 0.000 0.000
0.000 4.061 0.000
0.000 0.000 6.480
Si Bi
2 2
Direct
0.000 0.000 0.000 Si
0.500 0.500 0.500 Si
0.000 0.000 0.426 Bi
0.500 0.500 0.926 Bi
```

no.,magnetic moment (μB per atom),density (g cm⁻³)
1,0.00,5.77
2,0.00,7.37